7
Lattice="2.7115 1.5655 7.9584 -2.7115 1.5655 7.9584 0.0000 -3.1310 7.9584" Properties=species:S:1:pos:R:3 comment="Y2Ho2TmMg2, optimized geometry, DFT PBE-GGA" energy_ev_per_atom=-4.253 dos_ef_per_ev_cell=8.5 formation_enthalpy_0k_mev_per_atom=-4.0 pbc="T T T"
Y 0.0000 0.0000 3.6790
Y 0.0000 0.0000 20.1962
Ho 0.0000 0.0000 10.1655
Ho 0.0000 0.0000 13.7097
Tm 0.0000 0.0000 0.0000
Mg 0.0000 0.0000 6.8950
Mg 0.0000 0.0000 16.9802